No. 1
The following is a PBE calculation of a geometry-optimized In2TeP structure, from Alexandria.

Summary:
electronic total energy: -57.70 eV/cell
formation energy (no corrections): -0.397 eV per formula unit

a = 6.5464 Å, b = 6.5464 Å, c = 12.6871 Å
α = 90.00°, β = 90.00°, γ = 90.00°
Fractional positions:
In (0.2042, 0.2500, 0.1250)
In (0.2500, 0.7042, 0.3750)
In (0.2500, 0.7958, 0.8750)
In (0.2958, 0.2500, 0.6250)
In (0.7042, 0.7500, 0.6250)
In (0.7500, 0.2042, 0.8750)
In (0.7500, 0.2958, 0.3750)
In (0.7958, 0.7500, 0.1250)
Te (0.0000, 0.0000, 0.5000)
Te (0.0000, 0.5000, 0.7500)
Te (0.5000, 0.0000, 0.2500)
Te (0.5000, 0.5000, 0.0000)
P (0.0000, 0.0000, 0.0000)
P (0.0000, 0.5000, 0.2500)
P (0.5000, 0.0000, 0.7500)
P (0.5000, 0.5000, 0.5000)

***

No. 2
The following is a PBE calculation of a geometry-optimized NdBeSi2Pd structure, from Alexandria.

Summary:
electronic total energy: -56.17 eV/cell
formation energy (no corrections): -3.550 eV per formula unit

a = 4.0530 Å, b = 4.0530 Å, c = 10.1848 Å
α = 90.00°, β = 90.00°, γ = 90.00°
Fractional positions:
Nd (0.0000, 0.0000, 0.0000)
Nd (0.5000, 0.5000, 0.5000)
Be (0.0000, 0.5000, 0.2500)
Be (0.5000, 0.0000, 0.7500)
Si (0.0000, 0.0000, 0.3808)
Si (0.0000, 0.0000, 0.6192)
Si (0.5000, 0.5000, 0.1192)
Si (0.5000, 0.5000, 0.8808)
Pd (0.0000, 0.5000, 0.7500)
Pd (0.5000, 0.0000, 0.2500)

***

No. 3
The following is a PBE calculation of a geometry-optimized MnIn4Sb structure, from Alexandria.

Summary:
electronic total energy: -21.64 eV/cell
formation energy (no corrections): 2.604 eV per formula unit

a = 6.0814 Å, b = 6.0814 Å, c = 6.0814 Å
α = 60.00°, β = 60.00°, γ = 60.00°
Fractional positions:
Mn (0.0000, 0.0000, 0.0000)
In (0.3749, 0.3749, 0.3749)
In (0.3749, 0.3749, 0.8752)
In (0.3749, 0.8752, 0.3749)
In (0.8752, 0.3749, 0.3749)
Sb (0.7500, 0.7500, 0.7500)

***

No. 4
The following is a PBE calculation of a geometry-optimized SrCdBr2 structure, from Alexandria.

Summary:
electronic total energy: -44.26 eV/cell
formation energy (no corrections): -5.122 eV per formula unit

a = 9.2604 Å, b = 9.2604 Å, c = 7.9747 Å
α = 90.00°, β = 90.00°, γ = 90.00°
Fractional positions:
Sr (0.0000, 0.0000, 0.0000)
Sr (0.0000, 0.5000, 0.2500)
Sr (0.5000, 0.0000, 0.7500)
Sr (0.5000, 0.5000, 0.5000)
Cd (0.0000, 0.0000, 0.5000)
Cd (0.0000, 0.5000, 0.7500)
Cd (0.5000, 0.0000, 0.2500)
Cd (0.5000, 0.5000, 0.0000)
Br (0.1706, 0.2500, 0.1250)
Br (0.2500, 0.6706, 0.3750)
Br (0.2500, 0.8294, 0.8750)
Br (0.3294, 0.2500, 0.6250)
Br (0.6706, 0.7500, 0.6250)
Br (0.7500, 0.1706, 0.8750)
Br (0.7500, 0.3294, 0.3750)
Br (0.8294, 0.7500, 0.1250)

***

No. 5
The following is a PBE calculation of a geometry-optimized MgRhCl structure, from Alexandria.

Summary:
electronic total energy: -22.90 eV/cell
formation energy (no corrections): -0.657 eV per formula unit

a = 4.0592 Å, b = 4.0592 Å, c = 7.3907 Å
α = 90.00°, β = 90.00°, γ = 90.00°
Fractional positions:
Mg (0.2500, 0.2500, 0.2051)
Mg (0.7500, 0.7500, 0.7949)
Rh (0.2500, 0.2500, 0.5390)
Rh (0.7500, 0.7500, 0.4610)
Cl (0.2500, 0.7500, 0.0000)
Cl (0.7500, 0.2500, 0.0000)

***

No. 6
The following is a PBE calculation of a geometry-optimized Sm3Dy4Th2 structure, from Alexandria.

Summary:
ΔH_f (0 K): 0.08 eV per atom
electronic total energy: -46.69 eV/cell

a = 3.5672 Å, b = 3.5672 Å, c = 26.7425 Å
α = 90.00°, β = 90.00°, γ = 120.00°
Fractional positions:
Sm (0.0000, 0.0000, 0.0000)
Sm (0.0000, 0.0000, 0.3440)
Sm (0.6667, 0.3333, 0.6696)
Dy (0.0000, 0.0000, 0.5605)
Dy (0.0000, 0.0000, 0.7800)
Dy (0.6667, 0.3333, 0.2376)
Dy (0.6667, 0.3333, 0.4549)
Th (0.6667, 0.3333, 0.1117)
Th (0.6667, 0.3333, 0.8877)

***

No. 7
The following is a PBE calculation of a geometry-optimized Sc3BeAs2 structure, from Alexandria.

Summary:
ΔH_f (0 K): -0.93 eV per atom
electronic total energy: -150.39 eV/cell

a = 10.5670 Å, b = 3.7546 Å, c = 10.7196 Å
α = 90.00°, β = 90.00°, γ = 90.00°
Fractional positions:
Sc (0.0570, 0.2500, 0.1211)
Sc (0.1194, 0.7500, 0.5579)
Sc (0.2048, 0.2500, 0.7921)
Sc (0.2952, 0.7500, 0.2921)
Sc (0.3806, 0.2500, 0.0579)
Sc (0.4430, 0.7500, 0.6211)
Sc (0.5570, 0.2500, 0.3789)
Sc (0.6194, 0.7500, 0.9421)
Sc (0.7048, 0.2500, 0.7079)
Sc (0.7952, 0.7500, 0.2079)
Sc (0.8806, 0.2500, 0.4421)
Sc (0.9430, 0.7500, 0.8789)
Be (0.1328, 0.2500, 0.3691)
Be (0.3672, 0.7500, 0.8691)
Be (0.6328, 0.2500, 0.1309)
Be (0.8672, 0.7500, 0.6309)
As (0.0284, 0.7500, 0.3137)
As (0.1903, 0.7500, 0.9882)
As (0.3097, 0.2500, 0.4882)
As (0.4716, 0.2500, 0.8137)
As (0.5284, 0.7500, 0.1863)
As (0.6903, 0.7500, 0.5118)
As (0.8097, 0.2500, 0.0118)
As (0.9716, 0.2500, 0.6863)

***

No. 8
The following is a PBE calculation of a geometry-optimized TaCuAsI2 structure, from Alexandria.

Summary:
electronic total energy: -17.22 eV/cell
formation energy (no corrections): 6.482 eV per formula unit

a = 5.1634 Å, b = 5.1634 Å, c = 5.0404 Å
α = 90.00°, β = 90.00°, γ = 90.00°
Fractional positions:
Ta (0.0000, 0.0000, 0.0000)
Cu (0.0000, 0.0000, 0.5000)
As (0.5000, 0.5000, 0.0000)
I (0.0000, 0.5000, 0.5000)
I (0.5000, 0.0000, 0.5000)

***

No. 9
The following is a PBE calculation of a geometry-optimized RbMnMo2Au structure, from Alexandria.

Summary:
ΔH_f (0 K): 2.18 eV per atom
electronic total energy: -24.17 eV/cell

a = 5.2952 Å, b = 5.2952 Å, c = 4.8972 Å
α = 90.00°, β = 90.00°, γ = 90.00°
Fractional positions:
Rb (0.0000, 0.0000, 0.0000)
Mn (0.5000, 0.5000, 0.0000)
Mo (0.0000, 0.5000, 0.5000)
Mo (0.5000, 0.0000, 0.5000)
Au (0.5000, 0.5000, 0.5000)

***

No. 10
The following is a PBE calculation of a geometry-optimized SmH8PdRh4 structure, from Alexandria.

Summary:
electronic total energy: -69.11 eV/cell

a = 5.6782 Å, b = 5.6782 Å, c = 5.6782 Å
α = 59.88°, β = 59.88°, γ = 59.88°
Fractional positions:
Sm (0.0000, 0.0000, 0.0000)
H (0.3306, 0.3306, 0.8816)
H (0.3306, 0.8816, 0.3306)
H (0.3830, 0.3830, 0.3830)
H (0.4774, 0.8401, 0.8401)
H (0.8401, 0.4774, 0.8401)
H (0.8401, 0.8401, 0.4774)
H (0.8406, 0.8406, 0.8406)
H (0.8816, 0.3306, 0.3306)
Pd (0.6160, 0.6160, 0.6160)
Rh (0.1263, 0.6195, 0.6195)
Rh (0.2540, 0.2540, 0.2540)
Rh (0.6195, 0.1263, 0.6195)
Rh (0.6195, 0.6195, 0.1263)

***

No. 11
The following is a PBE calculation of a geometry-optimized KLi2MgN structure, from Alexandria.

Summary:
electronic total energy: -9.21 eV/cell
formation energy (no corrections): 5.639 eV per formula unit

a = 4.9744 Å, b = 4.9744 Å, c = 4.6616 Å
α = 90.00°, β = 90.00°, γ = 90.00°
Fractional positions:
K (0.0000, 0.0000, 0.0000)
Li (0.0000, 0.5000, 0.0000)
Li (0.5000, 0.0000, 0.0000)
Mg (0.5000, 0.5000, 0.5000)
N (0.0000, 0.0000, 0.5000)

***

No. 12
The following is a PBE calculation of a geometry-optimized Tm2Si3Pd5 structure, from Alexandria.

Summary:
electronic total energy: -119.61 eV/cell
formation energy (no corrections): -8.627 eV per formula unit

a = 12.1506 Å, b = 12.1506 Å, c = 6.6732 Å
α = 90.00°, β = 90.00°, γ = 160.12°
Fractional positions:
Tm (0.0232, 0.9768, 0.5000)
Tm (0.3257, 0.6743, 0.4658)
Tm (0.6743, 0.3257, 0.9658)
Tm (0.9768, 0.0232, 0.0000)
Si (0.1188, 0.8812, 0.2563)
Si (0.2731, 0.7269, 0.9210)
Si (0.4508, 0.5492, 0.2898)
Si (0.5492, 0.4508, 0.7898)
Si (0.7269, 0.2731, 0.4210)
Si (0.8812, 0.1188, 0.7563)
Pd (0.0944, 0.9056, 0.8898)
Pd (0.2003, 0.7997, 0.6433)
Pd (0.2211, 0.7789, 0.2252)
Pd (0.3751, 0.6249, 0.0015)
Pd (0.4456, 0.5544, 0.6649)
Pd (0.5544, 0.4456, 0.1649)
Pd (0.6249, 0.3751, 0.5015)
Pd (0.7789, 0.2211, 0.7252)
Pd (0.7997, 0.2003, 0.1433)
Pd (0.9056, 0.0944, 0.3898)

***

Number 1: M_tot 0.0 μB/cell. Number 2: M_tot 0.0 μB/cell. Number 3: M_tot 4.2 μB/cell. Number 4: M_tot 0.0 μB/cell. Number 5: M_tot 1.0 μB/cell. Number 6: M_tot 0.0 μB/cell. Number 7: M_tot 0.0 μB/cell. Number 8: M_tot 0.9 μB/cell. Number 9: M_tot 6.9 μB/cell. Number 10: M_tot 0.0 μB/cell. Number 11: M_tot 0.5 μB/cell. Number 12: M_tot 0.0 μB/cell.